[1]
The following is a DFT calculation (GGA-PBE) of a relaxed structure of K2MgTe.

a = 6.175 Å, b = 6.175 Å, c = 11.701 Å
α = 74.70°, β = 74.70°, γ = 90.00°
Sites, in units of the cell vectors:
Mg: 0.250 0.750 0.500
K: 0.875 0.919 0.750
Mg: 0.500 0.500 0.000
K: 0.081 0.625 0.250
K: 0.669 0.125 0.250
K: 0.375 0.331 0.750
Te: 0.750 0.250 0.500
Te: 0.000 0.000 0.000

Relative energy among the computed polymorphs in eV per formula unit: 1.36
Space-group type: I-42d
Uncorrected formation energy in eV/atom: -0.1942
Theoretical density in kg/m³: 1846



[2]
The following is a DFT calculation (GGA-PBE) of a relaxed structure of KMgTe2.

a = 4.030 Å, b = 3.460 Å, c = 8.680 Å
α = 90.00°, β = 90.00°, γ = 90.00°
Sites, in units of the cell vectors:
Te: 0.000 0.000 0.961
Te: 0.000 0.000 0.539
Mg: 0.500 0.500 0.750
K: 0.500 0.500 0.250

Space-group type: Pmmm
Uncorrected formation energy in eV/atom: -0.5794
Theoretical density in kg/m³: 4371



[3]
The following is a DFT calculation (GGA-PBE) of a relaxed structure of K2MgTe.

a = 4.640 Å, b = 4.640 Å, c = 7.060 Å
α = 90.00°, β = 90.00°, γ = 90.00°
Sites, in units of the cell vectors:
K: 0.000 0.000 0.530
Te: 0.500 0.500 0.750
Mg: 0.500 0.500 0.250
K: 0.000 0.000 0.970

Relative energy among the computed polymorphs in eV per formula unit: 0.64
Space-group type: P4/mmm
Uncorrected formation energy in eV/atom: -0.3737
Theoretical density in kg/m³: 2513



[4]
The following is a DFT calculation (GGA-PBE) of a relaxed structure of KMgTe2.

a = 6.685 Å, b = 6.685 Å, c = 6.685 Å
α = 140.18°, β = 140.18°, γ = 57.58°
Sites, in units of the cell vectors:
Te: 0.000 0.000 0.000
Mg: 0.750 0.250 0.500
K: 0.500 0.500 0.000
Te: 0.250 0.750 0.500

Space-group type: I-4m2
Uncorrected formation energy in eV/atom: -0.3846
Theoretical density in kg/m³: 4357



[5]
The following is a DFT calculation (GGA-PBE) of a relaxed structure of K2MgTe.

a = 4.178 Å, b = 4.178 Å, c = 9.486 Å
α = 90.00°, β = 90.00°, γ = 90.01°
Sites, in units of the cell vectors:
Mg: 0.000 0.000 0.570
K: 0.500 0.500 0.315
Te: 0.500 0.500 0.690
K: 0.000 0.000 0.925

Relative energy among the computed polymorphs in eV per formula unit: 0.60
Space-group type: P4mm
Uncorrected formation energy in eV/atom: -0.3832
Theoretical density in kg/m³: 2308



[6]
The following is a DFT calculation (GGA-PBE) of a relaxed structure of KMgTe2.

a = 4.436 Å, b = 4.436 Å, c = 9.206 Å
α = 71.73°, β = 71.73°, γ = 47.99°
Sites, in units of the cell vectors:
Te: 0.293 0.293 0.203
Te: 0.059 0.059 0.797
Mg: 0.677 0.677 0.000
K: 0.471 0.471 0.500

Space-group type: Cm
Uncorrected formation energy in eV/atom: -0.7587
Theoretical density in kg/m³: 4185